(1)
Na2In3PbBr6 | GGA-PBE | optimized geometry

Structure (POSCAR):
```
Na2In3PbBr6
1.0
3.648 -6.369 0.000
3.648 6.369 0.000
-2.550 0.000 8.475
Na In Pb Br
2 3 1 6
direct
0.168 0.832 0.000
0.832 0.168 0.000
0.000 0.000 0.500
0.341 0.659 0.500
0.659 0.341 0.500
0.500 0.500 0.000
0.089 0.428 0.787
0.230 0.230 0.206
0.428 0.089 0.787
0.572 0.911 0.213
0.770 0.770 0.794
0.911 0.572 0.213
```

Properties
Formation energy without anion corrections in meV/atom: -868
ρ in g/cm3: 4.54

(2)
Na2InPb2Br7 | GGA-PBE | optimized geometry

Structure (POSCAR):
```
Na2InPb2Br7
1.0
-3.039 12.237 3.014
3.039 -12.237 3.014
3.039 12.237 -3.014
Na In Pb Br
2 1 2 7
direct
0.248 0.000 0.248
0.752 0.000 0.752
0.279 0.279 0.000
0.115 0.492 0.623
0.868 0.492 0.377
0.063 0.563 0.500
0.127 0.009 0.118
0.245 0.499 0.746
0.364 0.995 0.370
0.625 0.995 0.630
0.753 0.499 0.254
0.891 0.009 0.882
```

Properties
Formation energy without anion corrections in meV/atom: -1061
ρ in g/cm3: 4.20

(3)
Na2InPbBr5 | GGA-PBE | optimized geometry

Structure (POSCAR):
```
Na2InPbBr5
1.0
2.164 -9.340 0.000
2.164 9.340 0.000
0.000 0.000 15.887
Na In Pb Br
4 2 2 10
direct
0.029 0.971 0.500
0.148 0.852 0.096
0.852 0.148 0.596
0.971 0.029 0.000
0.420 0.580 0.270
0.580 0.420 0.770
0.285 0.715 0.884
0.715 0.285 0.384
0.121 0.879 0.908
0.206 0.794 0.522
0.233 0.767 0.249
0.443 0.557 0.878
0.460 0.540 0.608
0.540 0.460 0.108
0.557 0.443 0.378
0.767 0.233 0.749
0.794 0.206 0.022
0.879 0.121 0.408
```

Properties
Formation energy without anion corrections in meV/atom: -1106
ρ in g/cm3: 3.97

(4)
NaInPbBr6 | GGA-PBE | optimized geometry

Structure (POSCAR):
```
NaInPbBr6
1.0
7.399 0.000 0.000
-3.700 6.408 0.000
0.000 0.000 13.099
Na In Pb Br
2 2 2 12
direct
0.000 0.000 0.000
0.000 0.000 0.500
0.333 0.667 0.250
0.667 0.333 0.750
0.333 0.667 0.750
0.667 0.333 0.250
0.034 0.368 0.128
0.034 0.666 0.372
0.334 0.368 0.372
0.334 0.966 0.128
0.368 0.034 0.628
0.368 0.334 0.872
0.632 0.666 0.128
0.632 0.966 0.372
0.666 0.034 0.872
0.666 0.632 0.628
0.966 0.334 0.628
0.966 0.632 0.872
```

Properties
Formation energy without anion corrections in meV/atom: -997
ρ in g/cm3: 4.41

(5)
NaPmIn2Br6 | GGA-PBE | optimized geometry

Structure (POSCAR):
```
NaPmIn2Br6
1.0
3.990 2.303 6.736
-3.990 2.303 6.736
0.000 -4.607 6.736
Na Pm In Br
1 1 2 6
direct
0.000 0.000 0.000
0.495 0.495 0.495
0.286 0.286 0.286
0.790 0.790 0.790
0.150 0.713 0.352
0.234 0.649 0.828
0.352 0.150 0.713
0.649 0.828 0.234
0.713 0.352 0.150
0.828 0.234 0.649
```

Properties
Formation energy without anion corrections in meV/atom: -1328
ρ in g/cm3: 3.92

(6)
Na2PrInBr6 | GGA-PBE | optimized geometry

Structure (POSCAR):
```
Na2PrInBr6
1.0
3.844 2.220 6.986
-3.844 2.220 6.986
0.000 -4.439 6.986
Na Pr In Br
2 1 1 6
direct
0.000 0.000 0.000
0.489 0.489 0.489
0.684 0.684 0.684
0.198 0.198 0.198
0.077 0.415 0.766
0.282 0.860 0.634
0.415 0.766 0.077
0.634 0.282 0.860
0.766 0.077 0.415
0.860 0.634 0.282
```

Properties
Formation energy without anion corrections in meV/atom: -1503
ρ in g/cm3: 3.63